(1)
Computed, not measured: a relaxed structure of Pr6Ni2AuCl3 at the GGA-PBE level of DFT.

Cell and atoms, written as extended XYZ:
```
12
Lattice="-5.121 1.053 4.984 5.882 -3.863 1.628 3.165 7.084 0.002" Properties=species:S:1:pos:R:3 pbc="T T T"
Pr -1.089 1.685 2.243
Pr 1.107 4.334 5.563
Pr 5.015 2.589 4.371
Pr 1.219 -0.503 4.735
Pr 2.819 -0.061 1.051
Pr 2.707 4.776 1.879
Cl -1.714 3.779 4.428
Cl 5.640 0.494 2.186
Cl 1.963 2.137 3.307
Ni 2.214 -2.224 2.747
Ni -1.453 -0.586 3.865
Au 0.000 0.000 0.000
```

Values from the calculation:
As for the space group: C2/m (12). Its uncorrected formation energy is -949 meV per atom. Its electronic total energy is -5.0372 eV/atom. The calculation puts the total magnetization at 0.0 μB/f.u.

(2)
Computed, not measured: a relaxed structure of Ho4Mg2Tl at the GGA-PBE level of DFT.

Cell and atoms, written as extended XYZ:
```
7
Lattice="-0.674 3.420 -3.712 0.075 -1.481 -4.871 -9.904 -0.913 -2.536" Properties=species:S:1:pos:R:3 pbc="T T T"
Ho -4.042 0.029 -2.732
Ho -1.651 1.091 -5.680
Ho -6.460 0.997 -8.387
Ho -8.852 -0.066 -5.439
Mg -7.157 -0.472 -2.628
Mg -3.346 1.497 -8.491
Tl 0.000 0.000 0.000
```

Values from the calculation:
As for the space group: R-3m (166). Its electronic total energy is -3.1727 eV/atom. The calculation puts the total magnetization at 0.0 μB/f.u. The formation enthalpy at 0 K is 0.237 eV/atom.

(3)
Computed, not measured: a relaxed structure of MgCdRe at the GGA-PBE level of DFT.

Cell and atoms, written as extended XYZ:
```
3
Lattice="-0.743 -2.531 -1.192 2.458 1.307 -0.794 3.612 -3.565 5.313" Properties=species:S:1:pos:R:3 pbc="T T T"
Mg 2.652 -1.217 0.930
Re 2.699 -3.595 2.434
Cd 3.587 -3.540 5.276
```

Values from the calculation:
As for the space group: P3m1 (156). Its electronic total energy is -4.5760 eV/atom. The calculation puts the total magnetization at 0.0 μB/f.u. The formation enthalpy at 0 K is 0.410 eV/atom.

(4)
Computed, not measured: a relaxed structure of BaSiSe at the GGA-PBE level of DFT.

Cell and atoms, written as extended XYZ:
```
3
Lattice="-3.607 -0.660 -5.060 0.092 -0.836 -6.195 -0.388 -3.788 -0.708" Properties=species:S:1:pos:R:3 pbc="T T T"
Si -2.634 -2.142 -8.287
Se -1.277 -3.136 -3.709
Ba -3.505 -1.504 -11.223
```

Values from the calculation:
As for the space group: Fmm2 (42). Its uncorrected formation energy is -412 meV per atom. Its electronic total energy is -4.0219 eV/atom. The calculation puts the total magnetization at 0.0 μB/f.u.

(5)
Computed, not measured: a relaxed structure of ThHgB at the GGA-PBE level of DFT.

Cell and atoms, written as extended XYZ:
```
6
Lattice="-2.111 -2.039 -2.549 3.896 -2.594 1.813 -5.053 -1.304 5.228" Properties=species:S:1:pos:R:3 pbc="T T T"
Hg -2.428 -2.537 1.077
Hg -0.839 -3.400 3.416
B -2.356 -4.231 5.336
B -0.912 -1.706 -0.844
Th 0.234 -4.019 0.057
Th -3.501 -1.919 4.435
```

Values from the calculation:
As for the space group: C2/m (12). Its electronic total energy is -4.9729 eV/atom. The calculation puts the total magnetization at 0.0 μB/f.u. The formation enthalpy at 0 K is -0.173 eV/atom.

(6)
Computed, not measured: a relaxed structure of Tb8Bi2Te at the GGA-PBE level of DFT.

Cell and atoms, written as extended XYZ:
```
11
Lattice="-3.592 2.025 -0.313 -1.199 -0.721 9.092 6.255 6.973 0.664" Properties=species:S:1:pos:R:3 pbc="T T T"
Tb 1.608 8.186 7.197
Tb -1.615 2.106 4.836
Tb 1.437 3.086 3.476
Tb -0.144 0.092 2.246
Tb 1.827 4.651 9.131
Tb 3.079 6.172 4.606
Tb -0.363 3.627 0.312
Tb 0.027 5.192 5.967
Bi 0.625 2.221 7.197
Bi 0.839 6.057 2.246
Te -1.796 1.013 -0.157
```

Values from the calculation:
As for the space group: C2/m (12). Its uncorrected formation energy is -493 meV per atom. Its electronic total energy is -4.8517 eV/atom. The calculation puts the total magnetization at 1.1 μB/f.u.

(7)
Computed, not measured: a relaxed structure of Te2PO at the GGA-PBE level of DFT.

Cell and atoms, written as extended XYZ:
```
4
Lattice="0.957 -2.748 3.654 -2.618 0.251 3.860 -2.880 -3.509 1.101" Properties=species:S:1:pos:R:3 pbc="T T T"
P -2.270 -3.003 4.307
Te -3.405 -4.505 6.461
Te -1.135 -1.502 2.154
O 0.000 0.000 0.000
```

Values from the calculation:
As for the space group: Fm-3m (225). Its uncorrected formation energy is 475 meV per atom. Its electronic total energy is -3.6878 eV/atom. The calculation puts the total magnetization at 0.0 μB/f.u.

(8)
Computed, not measured: a relaxed structure of Sr2PtPb at the GGA-PBE level of DFT.

Cell and atoms, written as extended XYZ:
```
4
Lattice="-3.849 -2.086 3.002 -3.611 -3.224 -2.178 0.039 -5.184 1.141" Properties=species:S:1:pos:R:3 pbc="T T T"
Pt -5.566 -7.871 1.473
Sr 0.000 0.000 0.000
Sr -1.855 -2.624 0.491
Pb -3.711 -5.247 0.982
```

Values from the calculation:
As for the space group: F-43m (216). Its electronic total energy is -3.6744 eV/atom. The calculation puts the total magnetization at 0.0 μB/f.u. The formation enthalpy at 0 K is -0.396 eV/atom.